Compound: La3NiS
Source: the Alexandria database
Functional: meta-GGA SCAN
Structure: single point on PBEsol structure

a b c (Å): 5.2822 5.2822 5.2822
angles (deg): 90.00 90.00 90.00
Fractional coordinates of all 5 atoms:
Ni 0.0000 0.0000 0.0000
S 0.5000 0.5000 0.5000
La 0.0000 0.5000 0.0000
La 0.0000 0.0000 0.5000
La 0.5000 0.0000 0.0000

Results
The calculation puts the final energy at -31.41 eV per atom.